The following is a DFT calculation (PBE) of crystalline Tb2TeAu at its relaxed geometry.

```
Tb2TeAu
1.0
-3.8811 -0.1241 -1.5197
-3.0496 -1.7877 2.2117
-3.8025 5.9592 3.5041
Te Au Tb
1 1 2
Direct
0.5000 0.5000 0.5000
0.0000 0.0000 0.0000
0.2565 0.2565 0.2297
0.7435 0.7435 0.7703
```

Properties
The value obtained for the total magnetization is 0.00 μB/cell. As for the formation energy without anion corrections: -1.056 eV/atom.